Entry 1:
! PBE ZnTe3Au, optimized geometry; values from VASP
! - Density of states at the Fermi level: 8.46 states/eV/f.u.
! - Energy relative to the elements, uncorrected: 3.0 eV/f.u.
! - Size of the total moment: 0.00 μB per formula unit
&SYSTEM
  ibrav = 0, nat = 5, ntyp = 3
/
ATOMIC_SPECIES
Zn 65.41 Zn.upf
Te 127.60 Te.upf
Au 196.97 Au.upf
CELL_PARAMETERS angstrom
5.485 0.000 0.000
0.000 5.485 0.000
0.000 0.000 5.485
ATOMIC_POSITIONS angstrom
Zn 0.000 0.000 0.000
Te 0.000 2.742 2.742
Te 2.742 0.000 2.742
Te 2.742 2.742 0.000
Au 2.742 2.742 2.742

---

Entry 2:
! PBE PmMg11, optimized geometry; values from VASP
! - Density of states at the Fermi level: 4.76 states/eV/f.u.
! - DFT formation energy: 0.00 eV/atom
! - Size of the total moment: 0.00 μB per formula unit
&SYSTEM
  ibrav = 0, nat = 24, ntyp = 2
/
ATOMIC_SPECIES
Pm 145.00 Pm.upf
Mg 24.30 Mg.upf
CELL_PARAMETERS angstrom
-6.076 6.076 3.950
6.076 -6.076 3.950
6.076 6.076 -3.950
ATOMIC_POSITIONS angstrom
Pm 6.076 3.038 0.987
Pm 0.000 3.038 2.962
Mg 0.000 0.000 0.000
Mg 3.038 3.038 -1.975
Mg 3.038 -3.038 1.975
Mg 6.076 -3.038 2.962
Mg 4.598 -0.550 1.381
Mg 7.555 -0.550 1.381
Mg 2.488 1.560 0.593
Mg 9.664 1.560 0.593
Mg 4.598 5.527 -1.381
Mg 1.478 -0.550 2.568
Mg 2.488 4.516 0.593
Mg 3.588 -1.560 4.543
Mg 0.000 6.076 0.000
Mg 2.488 7.636 -0.593
Mg 3.588 1.560 3.356
Mg 4.598 6.626 1.381
Mg 1.478 0.550 5.331
Mg -3.588 4.516 3.356
Mg 3.588 4.516 3.356
Mg -1.478 6.626 2.568
Mg 1.478 6.626 2.568
Mg 0.000 9.115 0.987

---

Entry 3:
! PBE ZrCu2NF, optimized geometry; values from VASP
! - Density of states at the Fermi level: 3.16 states/eV/f.u.
! - Energy relative to the elements, uncorrected: 4.6 eV/f.u.
! - Size of the total moment: 2.39 μB per formula unit
&SYSTEM
  ibrav = 0, nat = 5, ntyp = 4
/
ATOMIC_SPECIES
Zr 91.22 Zr.upf
Cu 63.55 Cu.upf
N 14.01 N.upf
F 19.00 F.upf
CELL_PARAMETERS angstrom
5.139 0.000 0.000
0.000 5.139 0.000
0.000 0.000 4.131
ATOMIC_POSITIONS angstrom
Zr 0.000 0.000 0.000
Cu 0.000 2.570 0.000
Cu 2.570 0.000 0.000
N 2.570 2.570 2.065
F 0.000 0.000 2.065

---

Entry 4:
! PBE PrMnGe2Ir, optimized geometry; values from VASP
! - Density of states at the Fermi level: 2.95 states/eV/f.u.
! - DFT formation energy: -0.63 eV/atom
! - Size of the total moment: 3.21 μB per formula unit
&SYSTEM
  ibrav = 0, nat = 10, ntyp = 4
/
ATOMIC_SPECIES
Pr 140.91 Pr.upf
Mn 54.94 Mn.upf
Ge 72.64 Ge.upf
Ir 192.22 Ir.upf
CELL_PARAMETERS angstrom
4.141 0.000 0.000
0.000 4.141 0.000
0.000 0.000 10.798
ATOMIC_POSITIONS angstrom
Pr 0.000 0.000 0.000
Pr 2.071 2.071 5.399
Mn 0.000 2.071 2.699
Mn 2.071 0.000 8.098
Ge 0.000 0.000 4.099
Ge 0.000 0.000 6.699
Ge 2.071 2.071 1.300
Ge 2.071 2.071 9.498
Ir 0.000 2.071 8.098
Ir 2.071 0.000 2.699

---

Entry 5:
! PBE As2BrCl, optimized geometry; values from VASP
! - Density of states at the Fermi level: 1.81 states/eV/f.u.
! - Energy relative to the elements, uncorrected: 1.1 eV/f.u.
! - Size of the total moment: 0.00 μB per formula unit
&SYSTEM
  ibrav = 0, nat = 8, ntyp = 3
/
ATOMIC_SPECIES
As 74.92 As.upf
Br 79.90 Br.upf
Cl 35.45 Cl.upf
CELL_PARAMETERS angstrom
6.670 0.000 0.000
0.000 8.853 0.000
-0.014 0.000 3.164
ATOMIC_POSITIONS angstrom
As 1.667 2.213 0.000
As 1.667 6.639 0.000
As 5.002 2.213 0.000
As 5.002 6.639 0.000
Br 0.000 0.000 0.000
Br 3.335 4.426 0.000
Cl 0.000 4.426 0.000
Cl 3.335 0.000 0.000

---

Entry 6:
! PBE Tb4Tl5Cd, optimized geometry; values from VASP
! - Density of states at the Fermi level: 7.13 states/eV/f.u.
! - DFT formation energy: -0.03 eV/atom
! - Size of the total moment: 0.00 μB per formula unit
&SYSTEM
  ibrav = 0, nat = 20, ntyp = 3
/
ATOMIC_SPECIES
Tb 158.93 Tb.upf
Tl 204.38 Tl.upf
Cd 112.41 Cd.upf
CELL_PARAMETERS angstrom
7.696 0.000 0.000
0.000 10.339 0.000
0.000 0.000 7.601
ATOMIC_POSITIONS angstrom
Tb 0.029 2.585 1.566
Tb 1.924 5.823 3.607
Tb 1.924 9.686 3.607
Tb 3.819 2.585 1.566
Tb 3.876 7.755 6.034
Tb 5.772 0.653 3.994
Tb 5.772 4.517 3.994
Tb 7.667 7.755 6.034
Tl 0.410 0.576 6.206
Tl 0.410 4.593 6.206
Tl 1.924 7.755 0.833
Tl 3.437 0.576 6.206
Tl 3.437 4.593 6.206
Tl 4.258 5.746 1.395
Tl 4.258 9.763 1.395
Tl 5.772 2.585 6.768
Tl 7.285 5.746 1.395
Tl 7.285 9.763 1.395
Cd 1.924 2.585 4.155
Cd 5.772 7.755 3.446

---

Number 1: VASP energy -2.203 eV/atom. Number 2: VASP energy -1.860 eV/atom. Number 3: VASP energy -4.460 eV/atom. Number 4: VASP energy -7.035 eV/atom. Number 5: VASP energy -2.937 eV/atom. Number 6: VASP energy -3.155 eV/atom.